1.
Density functional theory data (GGA-PBE) for a relaxed structure of CdHRh.

Cell lengths 5.0987, 5.0987, 6.6135 Å; angles 126.56, 126.56, 35.10 degrees
With the nearest neighbours (Å) after each atom.
Atoms (fractional coordinates):
Cd 0.0650 0.0650 0.3318  2 H 2.60, 5 Rh 2.81-2.88
Cd 0.9350 0.9350 0.6682  2 H 2.60, 5 Rh 2.81-2.88
H 0.2998 0.2998 0.1745  2 Rh 1.76
H 0.7002 0.7002 0.8255  2 Rh 1.76
Rh 0.3055 0.3055 0.8760  2 H 1.76
Rh 0.6945 0.6945 0.1240  2 H 1.76

Output
* raw total energy: -3.966 eV/atom
* spin magnetization: 0.000 μB per atom
* ρ: 9.307 Mg/m³

***

2.
Density functional theory data (GGA-PBE) for a relaxed structure of CdH3Rh.

Cell lengths 6.3621, 6.3621, 5.5260 Å; angles 103.53, 103.53, 26.59 degrees
With the nearest neighbours (Å) after each atom.
Atoms (fractional coordinates):
Cd 0.1000 0.1000 0.2508  3 H 2.11
Cd 0.9000 0.9000 0.7492  3 H 2.11
H 0.0693 0.0693 0.7420  2 Rh 1.78
H 0.2405 0.2405 0.8526  3 Rh 1.83-1.91
H 0.3503 0.3503 0.4687  1 Rh 1.69
H 0.6497 0.6497 0.5313  1 Rh 1.69
H 0.7595 0.7595 0.1474  3 Rh 1.83-1.91
H 0.9307 0.9307 0.2580  2 Rh 1.78
Rh 0.3499 0.3499 0.1632  5 H 1.69-1.83
Rh 0.6501 0.6501 0.8368  5 H 1.69-1.83

Output
* raw total energy: -3.613 eV/atom
* spin magnetization: 0.000 μB per atom
* ρ: 7.461 Mg/m³